# 1
Entry from the Alexandria database: crystalline Y4Mg25 at its relaxed geometry (GGA-PBEsol).

Properties
electronic total energy: -0.18136 Ry/atom
DOS(E_F): 0.61 states/eV per atom
total magnetic moment: 0.00 μB/cell
crystal system: trigonal

abc: 9.704 9.628 9.628
angles: 70.69 70.37 109.63
Positions (direct):
1 Mg 0.371 0.182 0.629
2 Mg 0.185 0.375 0.625
3 Mg 0.371 0.371 0.818
4 Mg 0.999 0.629 0.190
5 Mg 0.323 0.609 0.000
6 Mg 0.000 0.607 0.674
7 Mg 0.674 0.281 0.326
8 Mg 0.810 0.000 0.375
9 Mg 0.393 0.393 0.281
10 Mg 0.606 0.000 0.687
11 Mg 0.189 0.818 0.810
12 Mg 0.632 0.808 0.000
13 Mg 0.323 0.000 0.391
14 Mg 0.999 0.810 0.371
15 Mg 0.393 0.719 0.607
16 Mg 0.810 0.625 0.000
17 Mg 0.714 0.391 0.609
18 Mg 0.189 0.190 0.182
19 Mg 0.293 0.687 0.313
20 Mg 0.000 0.326 0.393
21 Mg 0.359 0.000 0.000
22 Mg 0.674 0.674 0.719
23 Mg 0.824 0.192 0.808
24 Mg 0.606 0.313 0.000
25 Mg 0.632 0.000 0.192
26 Y 0.001 0.000 0.000
27 Y 0.629 0.628 0.372
28 Y 0.001 0.000 0.628
29 Y 0.001 0.372 0.000

=====

# 2
Entry from the Alexandria database: crystalline YMg at its relaxed geometry (GGA-PBEsol).

Properties
electronic total energy: -0.31459 Ry/atom
DOS(E_F): 1.47 states/eV per atom
total magnetic moment: 0.00 μB/cell
crystal system: orthorhombic

abc: 5.283 6.141 6.604
angles: 90.00 90.00 90.00
Positions (direct):
1 Y 0.250 0.626 0.370
2 Y 0.750 0.874 0.870
3 Y 0.250 0.126 0.130
4 Y 0.750 0.374 0.630
5 Mg 0.750 0.419 0.127
6 Mg 0.750 0.919 0.373
7 Mg 0.250 0.581 0.873
8 Mg 0.250 0.081 0.627

=====

# 3
Entry from the Alexandria database: crystalline Y7Mg at its relaxed geometry (GGA-PBEsol).

Properties
electronic total energy: -0.45286 Ry/atom
DOS(E_F): 1.13 states/eV per atom
total magnetic moment: 0.00 μB/cell
crystal system: cubic

abc: 6.951 6.951 6.951
angles: 60.00 60.00 60.00
Positions (direct):
1 Y 0.000 0.500 0.000
2 Y 0.500 0.500 0.000
3 Y 0.000 0.500 0.500
4 Y 0.500 0.500 0.500
5 Y 0.000 0.000 0.500
6 Y 0.500 0.000 0.500
7 Y 0.500 0.000 0.000
8 Mg 0.000 0.000 0.000

=====

# 4
Entry from the Alexandria database: crystalline Y3Mg at its relaxed geometry (GGA-PBEsol).

Properties
electronic total energy: -0.41004 Ry/atom
DOS(E_F): 1.35 states/eV per atom
total magnetic moment: 0.00 μB/cell
crystal system: tetragonal

abc: 3.587 3.587 8.952
angles: 90.00 90.00 90.00
Positions (direct):
1 Y 0.000 0.000 0.500
2 Y 0.500 0.500 0.768
3 Y 0.500 0.500 0.232
4 Mg 0.000 0.000 0.000

=====

# 5
Entry from the Alexandria database: crystalline Y8Mg at its relaxed geometry (GGA-PBEsol).

Properties
electronic total energy: -0.45780 Ry/atom
DOS(E_F): 1.64 states/eV per atom
total magnetic moment: 0.00 μB/cell
crystal system: tetragonal

abc: 4.967 7.770 7.770
angles: 84.14 71.36 71.36
Positions (direct):
1 Y 0.667 0.333 0.333
2 Y 0.666 0.668 0.000
3 Y 0.000 0.333 0.667
4 Y 0.333 0.667 0.667
5 Y 0.666 0.000 0.668
6 Y 0.334 0.000 0.332
7 Y 0.000 0.667 0.333
8 Y 0.334 0.332 0.000
9 Mg 0.000 0.000 0.000

=====

# 6
Entry from the Alexandria database: crystalline Y3Mg at its relaxed geometry (GGA-PBEsol).

Properties
electronic total energy: -0.40721 Ry/atom
DOS(E_F): 1.09 states/eV per atom
total magnetic moment: 0.00 μB/cell
crystal system: orthorhombic

abc: 6.987 6.913 9.538
angles: 90.00 90.00 90.00
Positions (direct):
1 Mg 0.500 0.502 0.250
2 Mg 0.000 0.002 0.750
3 Mg 0.000 0.998 0.250
4 Mg 0.500 0.498 0.750
5 Y 0.750 0.750 0.974
6 Y 0.000 0.552 0.250
7 Y 0.750 0.250 0.474
8 Y 0.250 0.250 0.474
9 Y 0.750 0.250 0.026
10 Y 0.750 0.750 0.526
11 Y 0.250 0.250 0.026
12 Y 0.500 0.052 0.750
13 Y 0.250 0.750 0.526
14 Y 0.000 0.448 0.750
15 Y 0.500 0.948 0.250
16 Y 0.250 0.750 0.974

=====

# 7
Entry from the Alexandria database: crystalline YMg at its relaxed geometry (GGA-PBEsol).

Properties
electronic total energy: -0.31684 Ry/atom
DOS(E_F): 0.95 states/eV per atom
total magnetic moment: 0.00 μB/cell
crystal system: monoclinic

abc: 3.333 5.106 6.539
angles: 90.00 104.82 90.00
Positions (direct):
1 Mg 0.066 0.750 0.630
2 Mg 0.934 0.250 0.370
3 Y 0.326 0.750 0.154
4 Y 0.674 0.250 0.846

=====

# 8
Entry from the Alexandria database: crystalline Y3Mg at its relaxed geometry (GGA-PBEsol).

Properties
electronic total energy: -0.40642 Ry/atom
DOS(E_F): 1.13 states/eV per atom
total magnetic moment: 0.00 μB/cell
crystal system: trigonal

abc: 3.485 3.485 11.280
angles: 81.11 81.11 60.00
Positions (direct):
1 Y 0.500 0.500 0.500
2 Y 0.253 0.253 0.242
3 Y 0.747 0.747 0.758
4 Mg 0.000 0.000 0.000

=====

# 9
Entry from the Alexandria database: crystalline Y3Mg at its relaxed geometry (GGA-PBEsol).

Properties
electronic total energy: -0.40566 Ry/atom
DOS(E_F): 1.17 states/eV per atom
total magnetic moment: 0.00 μB/cell
crystal system: orthorhombic

abc: 3.609 5.762 5.762
angles: 104.99 90.00 90.00
Positions (direct):
1 Mg 0.000 0.000 0.000
2 Y 0.500 0.000 0.500
3 Y 0.000 0.500 0.500
4 Y 0.500 0.500 0.000

=====

# 10
Entry from the Alexandria database: crystalline Y3Mg at its relaxed geometry (GGA-PBEsol).

Properties
electronic total energy: -0.40695 Ry/atom
DOS(E_F): 1.51 states/eV per atom
total magnetic moment: 0.00 μB/cell
crystal system: orthorhombic

abc: 5.480 6.012 6.969
angles: 90.00 90.00 90.00
Positions (direct):
1 Y 0.000 0.168 0.255
2 Y 0.000 0.649 0.500
3 Y 0.500 0.832 0.245
4 Y 0.000 0.168 0.745
5 Y 0.500 0.832 0.755
6 Y 0.500 0.351 0.000
7 Mg 0.500 0.329 0.500
8 Mg 0.000 0.671 0.000

=====

# 11
Entry from the Alexandria database: crystalline Y4Mg3 at its relaxed geometry (GGA-PBEsol).

Properties
electronic total energy: -0.34401 Ry/atom
DOS(E_F): 1.34 states/eV per atom
total magnetic moment: 0.00 μB/cell
crystal system: tetragonal

abc: 3.441 3.441 16.394
angles: 96.02 96.02 90.00
Positions (direct):
1 Y 0.570 0.570 0.140
2 Y 0.147 0.147 0.295
3 Y 0.430 0.430 0.860
4 Y 0.853 0.853 0.705
5 Mg 0.280 0.280 0.561
6 Mg 0.720 0.720 0.439
7 Mg 0.000 0.000 0.000

=====

# 12
Entry from the Alexandria database: crystalline Y17Mg12 at its relaxed geometry (GGA-PBEsol).

Properties
electronic total energy: -0.34732 Ry/atom
DOS(E_F): 1.29 states/eV per atom
total magnetic moment: 0.00 μB/cell
crystal system: cubic

abc: 10.091 10.091 10.091
angles: 109.47 109.47 109.47
Positions (direct):
1 Y 0.000 0.349 0.000
2 Y 0.313 0.596 0.000
3 Y 0.404 0.716 0.404
4 Y 0.313 0.000 0.596
5 Y 0.687 0.284 0.687
6 Y 0.716 0.404 0.404
7 Y 0.596 0.313 0.000
8 Y 0.651 0.651 0.651
9 Y 0.000 0.313 0.596
10 Y 0.000 0.000 0.000
11 Y 0.000 0.000 0.349
12 Y 0.687 0.687 0.284
13 Y 0.596 0.000 0.313
14 Y 0.284 0.687 0.687
15 Y 0.404 0.404 0.716
16 Y 0.349 0.000 0.000
17 Y 0.000 0.596 0.313
18 Mg 0.000 0.816 0.634
19 Mg 0.634 0.000 0.816
20 Mg 0.000 0.634 0.816
21 Mg 0.182 0.366 0.366
22 Mg 0.184 0.184 0.818
23 Mg 0.366 0.182 0.366
24 Mg 0.816 0.000 0.634
25 Mg 0.816 0.634 0.000
26 Mg 0.366 0.366 0.182
27 Mg 0.634 0.816 0.000
28 Mg 0.184 0.818 0.184
29 Mg 0.818 0.184 0.184

=====

What is the formula in the fourth record?
Y3Mg